# Ce2Pr3DyS6, relaxed, DFT GGA-PBE
data_Ce2Pr3DyS6
_space_group_name_H-M_alt 'C 1 2/m 1'
_space_group_IT_number 12
_cell_length_a 6.999
_cell_length_b 12.134
_cell_length_c 7.022
_cell_angle_alpha 90.00
_cell_angle_beta 109.52
_cell_angle_gamma 90.00
loop_
_space_group_symop_operation_xyz
'x,y,z'
'-x,-y,-z'
'-x,y,-z'
'x,-y,z'
'x+1/2,y+1/2,z'
'-x+1/2,-y+1/2,-z'
'-x+1/2,y+1/2,-z'
'x+1/2,-y+1/2,z'
loop_
_atom_site_label
_atom_site_type_symbol
_atom_site_fract_x
_atom_site_fract_y
_atom_site_fract_z
Ce1 Ce 0.000 0.166 0.000
Pr1 Pr 0.000 0.000 0.500
Pr2 Pr 0.000 0.333 0.500
Dy1 Dy 0.000 0.500 0.000
S1 S 0.243 0.336 0.239
S2 S 0.247 0.500 0.760
# - Crystal system: monoclinic
# - Energy relative to the elements, uncorrected: -2.0282 eV/atom

=====

# MnNi2Br, relaxed, DFT GGA-PBE
data_MnNi2Br
_space_group_name_H-M_alt 'P 1 2/m 1'
_space_group_IT_number 10
_cell_length_a 3.222
_cell_length_b 3.032
_cell_length_c 6.484
_cell_angle_alpha 90.00
_cell_angle_beta 90.20
_cell_angle_gamma 90.00
loop_
_space_group_symop_operation_xyz
'x,y,z'
'-x,-y,-z'
'-x,y,-z'
'x,-y,z'
loop_
_atom_site_label
_atom_site_type_symbol
_atom_site_fract_x
_atom_site_fract_y
_atom_site_fract_z
Mn1 Mn 0.000 0.000 0.000
Ni1 Ni 0.498 0.500 0.809
Br1 Br 0.500 0.000 0.500
# - Crystal system: monoclinic
# - Energy relative to the elements, uncorrected: 0.2197 eV/atom
# - Energy above the lowest structure with this stoichiometry: 0.00 eV per formula unit

=====

Please write out number 2 again, unchanged.
# MnNi2Br, relaxed, DFT GGA-PBE
data_MnNi2Br
_space_group_name_H-M_alt 'P 1 2/m 1'
_space_group_IT_number 10
_cell_length_a 3.222
_cell_length_b 3.032
_cell_length_c 6.484
_cell_angle_alpha 90.00
_cell_angle_beta 90.20
_cell_angle_gamma 90.00
loop_
_space_group_symop_operation_xyz
'x,y,z'
'-x,-y,-z'
'-x,y,-z'
'x,-y,z'
loop_
_atom_site_label
_atom_site_type_symbol
_atom_site_fract_x
_atom_site_fract_y
_atom_site_fract_z
Mn1 Mn 0.000 0.000 0.000
Ni1 Ni 0.498 0.500 0.809
Br1 Br 0.500 0.000 0.500
# - Crystal system: monoclinic
# - Energy relative to the elements, uncorrected: 0.2197 eV/atom
# - Energy above the lowest structure with this stoichiometry: 0.00 eV per formula unit

=====

Q: Which value of energy relative to the elements, uncorrected does entry 1 give?
A: -2.0282 eV/atom

=====

Q: Which value of energy relative to the elements, uncorrected does entry 2 give?
A: 0.2197 eV/atom